RbIn3Pb: relaxed, PBE.

Computed properties:
Volume = 173 Å³/f.u.
DFT formation energy = -64 meV/atom
Offset from the most stable computed form = 0 meV/atom
Theoretical density = 6.1 g/cm3

a b c (Å): 13.535 7.153 7.152
angles (deg): 90.00 90.00 90.00
Positions (direct):
Rb 0.250 0.000 0.001
Rb 0.250 0.500 0.499
Rb 0.750 0.000 0.999
Rb 0.750 0.500 0.501
In 0.000 0.250 0.250
In 0.000 0.750 0.750
In 0.138 0.000 0.501
In 0.138 0.500 0.999
In 0.362 0.000 0.501
In 0.362 0.500 0.999
In 0.500 0.250 0.750
In 0.500 0.750 0.250
In 0.638 0.000 0.499
In 0.638 0.500 0.001
In 0.862 0.000 0.499
In 0.862 0.500 0.001
Pb 0.000 0.250 0.750
Pb 0.000 0.750 0.250
Pb 0.500 0.250 0.250
Pb 0.500 0.750 0.750